DFT (PBE) results for an optimized crystal structure of BeBIrRu.

The structure in CIF format:
```
data_BeBIrRu
_cell_length_a 5.500
_cell_length_b 5.500
_cell_length_c 5.500
_cell_angle_alpha 90.00
_cell_angle_beta 90.00
_cell_angle_gamma 90.00
_space_group_name_H-M_alt 'F -4 3 m'
_space_group_IT_number 216
_space_group_name_Hall 'F -4 2 3'
loop_
_atom_site_label
_atom_site_type_symbol
_atom_site_fract_x
_atom_site_fract_y
_atom_site_fract_z
Be1 Be 0.000 0.000 0.000
B1 B 0.000 0.000 0.500
Ir1 Ir 0.250 0.250 0.750
Ru1 Ru 0.250 0.250 0.250
```

The density of states at the Fermi level comes out at 11.44 states/eV per cell. The value obtained for the electronic total energy is -7.34 eV per atom. Its formation energy is -0.21 eV per atom. Its volume is 10.40 Å³ per atom.